(1)
HfTeWAu2: optimized geometry, PBE.

a = 5.183 Å, b = 5.183 Å, c = 4.926 Å
α = 90.00°, β = 90.00°, γ = 90.00°
Atoms (fractional coordinates):
1 Hf 0.000 0.000 0.000
2 Te 0.500 0.500 0.500
3 W 0.000 0.000 0.500
4 Au 0.000 0.500 0.000
5 Au 0.500 0.000 0.000

## Properties
Formation energy without anion corrections ... 1.401 eV per atom

***

(2)
La2Al3ZnAg4: optimized geometry, PBE.

a = 4.503 Å, b = 4.503 Å, c = 10.658 Å
α = 90.00°, β = 90.00°, γ = 90.00°
Atoms (fractional coordinates):
1 La 0.000 0.500 0.248
2 La 0.500 0.000 0.752
3 Al 0.000 0.000 0.000
4 Al 0.000 0.500 0.632
5 Al 0.500 0.000 0.368
6 Zn 0.500 0.500 0.000
7 Ag 0.000 0.000 0.500
8 Ag 0.000 0.500 0.871
9 Ag 0.500 0.000 0.129
10 Ag 0.500 0.500 0.500

## Properties
Calculated formation energy ... -0.322 eV per atom

***

(3)
Rb2NpO3F3: optimized geometry, PBE.

a = 7.063 Å, b = 7.063 Å, c = 3.301 Å
α = 90.00°, β = 90.00°, γ = 120.00°
Atoms (fractional coordinates):
1 Rb 0.333 0.667 0.000
2 Rb 0.667 0.333 0.000
3 Np 0.000 0.000 0.500
4 O 0.000 0.805 0.000
5 O 0.195 0.195 0.000
6 O 0.805 0.000 0.000
7 F 0.000 0.337 0.500
8 F 0.337 0.000 0.500
9 F 0.663 0.663 0.500

## Properties
Formation energy without anion corrections ... -2.441 eV per atom

***

(4)
Cr2ReGe: optimized geometry, PBE.

a = 5.476 Å, b = 5.476 Å, c = 5.476 Å
α = 102.70°, β = 102.70°, γ = 124.07°
Atoms (fractional coordinates):
1 Cr 0.108 0.125 0.483
2 Cr 0.375 0.892 0.017
3 Cr 0.642 0.625 0.517
4 Cr 0.875 0.358 0.983
5 Re 0.000 0.000 0.000
6 Re 0.750 0.250 0.500
7 Ge 0.250 0.750 0.500
8 Ge 0.500 0.500 0.000

## Properties
Calculated formation energy ... 0.767 eV per atom

***

(5)
LaSmSbO: optimized geometry, PBE.

a = 14.391 Å, b = 14.391 Å, c = 14.391 Å
α = 16.88°, β = 16.88°, γ = 16.88°
Atoms (fractional coordinates):
1 La 0.000 0.000 0.000
2 La 0.500 0.500 0.500
3 Sm 0.241 0.241 0.241
4 Sm 0.759 0.759 0.759
5 Sb 0.382 0.382 0.382
6 Sb 0.618 0.618 0.618
7 O 0.189 0.189 0.189
8 O 0.811 0.811 0.811

## Properties
Formation energy without anion corrections ... -1.869 eV per atom

***

(6)
ErCdHgPb: optimized geometry, PBE.

a = 4.394 Å, b = 4.646 Å, c = 4.894 Å
α = 90.00°, β = 90.00°, γ = 90.00°
Atoms (fractional coordinates):
1 Er 0.000 0.000 0.000
2 Cd 0.000 0.500 0.500
3 Hg 0.500 0.000 0.500
4 Pb 0.500 0.500 0.000

## Properties
Calculated formation energy ... -0.311 eV per atom
Energy above the most stable polymorph in this dataset ... 0.0 meV per atom

***

(7)
Th2Ge4PdRh3: optimized geometry, PBE.

a = 4.287 Å, b = 4.287 Å, c = 10.167 Å
α = 90.00°, β = 90.00°, γ = 90.00°
Atoms (fractional coordinates):
1 Th 0.000 0.500 0.245
2 Th 0.500 0.000 0.755
3 Ge 0.000 0.000 0.000
4 Ge 0.000 0.500 0.635
5 Ge 0.500 0.000 0.365
6 Ge 0.500 0.500 0.000
7 Pd 0.000 0.000 0.500
8 Rh 0.000 0.500 0.875
9 Rh 0.500 0.000 0.125
10 Rh 0.500 0.500 0.500

## Properties
Calculated formation energy ... -0.864 eV per atom

***

(8)
BaInNi: optimized geometry, PBE.

a = 6.646 Å, b = 6.646 Å, c = 6.646 Å
α = 149.15°, β = 149.15°, γ = 44.19°
Atoms (fractional coordinates):
1 Ba 0.000 0.000 0.000
2 In 0.277 0.277 0.000
3 Ni 0.692 0.692 0.000

## Properties
Calculated formation energy ... -0.044 eV per atom

***

(9)
Tb2Th3Fe2: optimized geometry, PBE.

a = 3.851 Å, b = 6.182 Å, c = 8.466 Å
α = 77.27°, β = 76.89°, γ = 71.89°
Atoms (fractional coordinates):
1 Tb 0.106 0.184 0.105
2 Tb 0.894 0.816 0.895
3 Th 0.329 0.587 0.255
4 Th 0.500 0.000 0.500
5 Th 0.671 0.413 0.745
6 Fe 0.143 0.636 0.580
7 Fe 0.857 0.364 0.420

## Properties
Calculated formation energy ... 0.038 eV per atom

***

(10)
Sm2TmAl12Co3: optimized geometry, PBE.

a = 7.880 Å, b = 7.880 Å, c = 7.880 Å
α = 64.37°, β = 64.37°, γ = 64.37°
Atoms (fractional coordinates):
1 Sm 0.085 0.085 0.085
2 Sm 0.915 0.915 0.915
3 Tm 0.500 0.500 0.500
4 Al 0.031 0.661 0.661
5 Al 0.222 0.222 0.604
6 Al 0.222 0.604 0.222
7 Al 0.339 0.339 0.969
8 Al 0.339 0.969 0.339
9 Al 0.396 0.778 0.778
10 Al 0.604 0.222 0.222
11 Al 0.661 0.031 0.661
12 Al 0.661 0.661 0.031
13 Al 0.778 0.396 0.778
14 Al 0.778 0.778 0.396
15 Al 0.969 0.339 0.339
16 Co 0.000 0.500 0.500
17 Co 0.500 0.000 0.500
18 Co 0.500 0.500 0.000

## Properties
Calculated formation energy ... 0.016 eV per atom

***

(11)
ReSbCl2: optimized geometry, PBE.

a = 3.154 Å, b = 4.077 Å, c = 8.713 Å
α = 90.00°, β = 93.48°, γ = 90.00°
Atoms (fractional coordinates):
1 Re 0.000 0.000 0.000
2 Sb 0.517 0.500 0.099
3 Cl 0.562 0.500 0.374
4 Cl 0.957 0.000 0.744

## Properties
Formation energy without anion corrections ... 0.115 eV per atom
Energy above the most stable polymorph in this dataset ... 108.7 meV per atom

***

(12)
Ba2ScRh: optimized geometry, PBE.

a = 3.693 Å, b = 3.693 Å, c = 10.014 Å
α = 90.00°, β = 90.00°, γ = 90.00°
Atoms (fractional coordinates):
1 Ba 0.000 0.000 0.000
2 Ba 0.500 0.500 0.389
3 Sc 0.500 0.500 0.719
4 Rh 0.000 0.000 0.638

## Properties
Calculated formation energy ... -0.144 eV per atom
Energy above the most stable polymorph in this dataset ... 59.0 meV per atom

***

(13)
Li2ZnNiH: optimized geometry, PBE.

a = 3.799 Å, b = 3.799 Å, c = 3.617 Å
α = 90.00°, β = 90.00°, γ = 90.00°
Atoms (fractional coordinates):
1 Li 0.000 0.500 0.000
2 Li 0.500 0.000 0.000
3 Zn 0.000 0.000 0.500
4 Ni 0.500 0.500 0.500
5 H 0.500 0.500 0.000

## Properties
Energy above the most stable polymorph in this dataset ... 0.0 meV per atom

***

(14)
Na2ZrPbS4: optimized geometry, PBE.

a = 6.998 Å, b = 3.928 Å, c = 7.113 Å
α = 90.00°, β = 108.66°, γ = 90.00°
Atoms (fractional coordinates):
1 Na 0.000 0.000 0.000
2 Na 0.000 0.500 0.500
3 Zr 0.500 0.000 0.500
4 Pb 0.500 0.500 0.000
5 S 0.270 0.000 0.719
6 S 0.280 0.500 0.284
7 S 0.720 0.500 0.716
8 S 0.730 0.000 0.281

## Properties
Formation energy without anion corrections ... -1.176 eV per atom

***

(15)
Pa2CrCuN5: optimized geometry, PBE.

a = 7.089 Å, b = 7.089 Å, c = 9.206 Å
α = 90.00°, β = 90.00°, γ = 153.35°
Atoms (fractional coordinates):
1 Pa 0.129 0.871 0.500
2 Pa 0.132 0.868 0.084
3 Pa 0.868 0.132 0.584
4 Pa 0.871 0.129 0.000
5 Cr 0.209 0.791 0.793
6 Cr 0.791 0.209 0.293
7 Cu 0.494 0.506 0.279
8 Cu 0.506 0.494 0.779
9 N 0.083 0.917 0.802
10 N 0.290 0.710 0.441
11 N 0.292 0.708 0.147
12 N 0.359 0.641 0.795
13 N 0.499 0.501 0.050
14 N 0.501 0.499 0.550
15 N 0.641 0.359 0.295
16 N 0.708 0.292 0.647
17 N 0.710 0.290 0.941
18 N 0.917 0.083 0.302

## Properties
Formation energy without anion corrections ... -0.854 eV per atom

***

(16)
TlPdC3: optimized geometry, PBE.

a = 4.153 Å, b = 4.153 Å, c = 4.153 Å
α = 90.00°, β = 90.00°, γ = 90.00°
Atoms (fractional coordinates):
1 Tl 0.000 0.000 0.000
2 Pd 0.500 0.500 0.500
3 C 0.000 0.500 0.500
4 C 0.500 0.000 0.500
5 C 0.500 0.500 0.000

## Properties
Calculated formation energy ... 2.564 eV per atom
Energy above the most stable polymorph in this dataset ... 0.0 meV per atom

***

(17)
Y2Ta2Ni15: optimized geometry, PBE.

a = 6.382 Å, b = 6.382 Å, c = 6.382 Å
α = 81.96°, β = 81.96°, γ = 81.96°
Atoms (fractional coordinates):
1 Y 0.149 0.149 0.149
2 Y 0.851 0.851 0.851
3 Ta 0.397 0.397 0.397
4 Ta 0.603 0.603 0.603
5 Ni 0.000 0.500 0.500
6 Ni 0.155 0.155 0.656
7 Ni 0.155 0.656 0.155
8 Ni 0.201 0.500 0.799
9 Ni 0.201 0.799 0.500
10 Ni 0.344 0.845 0.845
11 Ni 0.500 0.000 0.500
12 Ni 0.500 0.201 0.799
13 Ni 0.500 0.500 0.000
14 Ni 0.500 0.799 0.201
15 Ni 0.656 0.155 0.155
16 Ni 0.799 0.201 0.500
17 Ni 0.799 0.500 0.201
18 Ni 0.845 0.344 0.845
19 Ni 0.845 0.845 0.344

## Properties
Calculated formation energy ... -0.259 eV per atom

***

(18)
Tb5Y12Tm2: optimized geometry, PBE.

a = 6.277 Å, b = 8.847 Å, c = 12.062 Å
α = 70.06°, β = 79.99°, γ = 78.51°
Atoms (fractional coordinates):
1 Tb 0.000 0.000 0.000
2 Tb 0.215 0.327 0.009
3 Tb 0.371 0.836 0.505
4 Tb 0.629 0.164 0.495
5 Tb 0.785 0.673 0.991
6 Y 0.084 0.128 0.661
7 Y 0.163 0.207 0.327
8 Y 0.247 0.462 0.708
9 Y 0.263 0.603 0.143
10 Y 0.310 0.738 0.833
11 Y 0.460 0.929 0.170
12 Y 0.540 0.071 0.830
13 Y 0.690 0.262 0.167
14 Y 0.737 0.397 0.857
15 Y 0.753 0.538 0.292
16 Y 0.837 0.793 0.673
17 Y 0.916 0.872 0.339
18 Tm 0.250 0.501 0.434
19 Tm 0.750 0.499 0.566

## Properties
Calculated formation energy ... 0.057 eV per atom
Energy above the most stable polymorph in this dataset ... 0.0 meV per atom

***

(19)
BaIn9Ag2: optimized geometry, PBE.

a = 9.737 Å, b = 9.737 Å, c = 9.737 Å
α = 100.54°, β = 100.54°, γ = 129.36°
Atoms (fractional coordinates):
1 Ba 0.375 0.625 0.750
2 Ba 0.625 0.375 0.250
3 In 0.124 0.554 0.325
4 In 0.124 0.800 0.570
5 In 0.125 0.875 0.250
6 In 0.200 0.270 0.325
7 In 0.200 0.876 0.930
8 In 0.270 0.200 0.825
9 In 0.270 0.446 0.070
10 In 0.446 0.270 0.570
11 In 0.446 0.876 0.175
12 In 0.554 0.124 0.825
13 In 0.554 0.730 0.430
14 In 0.730 0.554 0.930
15 In 0.730 0.800 0.175
16 In 0.800 0.124 0.070
17 In 0.800 0.730 0.675
18 In 0.875 0.125 0.750
19 In 0.876 0.200 0.430
20 In 0.876 0.446 0.675
21 Ag 0.000 0.000 0.000
22 Ag 0.000 0.000 0.500
23 Ag 0.000 0.500 0.000
24 Ag 0.500 0.000 0.500

## Properties
Calculated formation energy ... -0.125 eV per atom
Energy above the most stable polymorph in this dataset ... 0.0 meV per atom

***

(20)
BaSi2Au: optimized geometry, PBE.

a = 5.851 Å, b = 5.851 Å, c = 3.018 Å
α = 90.00°, β = 90.00°, γ = 115.14°
Atoms (fractional coordinates):
1 Ba 0.000 0.000 0.000
2 Si 0.000 0.500 0.500
3 Si 0.500 0.000 0.500
4 Au 0.500 0.500 0.000

## Properties
Formation energy without anion corrections ... 0.410 eV per atom

***

(21)
LaCr2NiN: optimized geometry, PBE.

a = 4.487 Å, b = 4.487 Å, c = 4.500 Å
α = 90.00°, β = 90.00°, γ = 90.00°
Atoms (fractional coordinates):
1 La 0.000 0.000 0.000
2 Cr 0.000 0.500 0.000
3 Cr 0.500 0.000 0.000
4 Ni 0.000 0.000 0.500
5 N 0.500 0.500 0.500

## Properties
Formation energy without anion corrections ... 2.938 eV per atom

***

(22)
Sr2Cd7Pb: optimized geometry, PBE.

a = 4.707 Å, b = 4.707 Å, c = 12.806 Å
α = 90.00°, β = 90.00°, γ = 90.00°
Atoms (fractional coordinates):
1 Sr 0.000 0.500 0.247
2 Sr 0.500 0.000 0.753
3 Cd 0.000 0.000 0.000
4 Cd 0.000 0.500 0.645
5 Cd 0.000 0.500 0.863
6 Cd 0.500 0.000 0.137
7 Cd 0.500 0.000 0.355
8 Cd 0.500 0.500 0.000
9 Cd 0.500 0.500 0.500
10 Pb 0.000 0.000 0.500

## Properties
Calculated formation energy ... -0.238 eV per atom

***

(23)
GaAuCl2F: optimized geometry, PBE.

a = 5.469 Å, b = 5.469 Å, c = 3.726 Å
α = 90.00°, β = 90.00°, γ = 90.00°
Atoms (fractional coordinates):
1 Ga 0.000 0.000 0.000
2 Au 0.500 0.500 0.000
3 Cl 0.000 0.500 0.500
4 Cl 0.500 0.000 0.500
5 F 0.000 0.000 0.500

## Properties
Formation energy without anion corrections ... -0.201 eV per atom